First-principles (PBEsol) data for a relaxed LaScIn crystal, as listed in Alexandria.

Unit cell a=3.3912 b=3.3912 c=8.1162 alpha=90.00 beta=90.00 gamma=120.00
Element x y z (fractional)
Sc (0.3333, 0.6667, 0.3143)
La (0.6667, 0.3333, 0.6692)
In (0.0000, 0.0000, 0.0166)

Results
DFT formation energy (eV per atom): -0.128
Energy above the most stable polymorph in this dataset (meV/atom): 149
Crystal system: trigonal
Space-group type: P3m1

***

First-principles (PBEsol) data for a relaxed PHSe3 crystal, as listed in Alexandria.

Unit cell a=4.7734 b=4.7734 c=4.7734 alpha=90.00 beta=90.00 gamma=90.00
Site moments in Bohr magnetons follow the coordinates.
Element x y z (fractional)
Se (0.0000, 0.5000, 0.0000)  -0.07
Se (0.5000, 0.0000, 0.0000)  -0.07
Se (0.0000, 0.0000, 0.5000)  -0.07
H (0.5000, 0.5000, 0.5000)  0.30
P (0.0000, 0.0000, 0.0000)  -0.02

Results
Crystal system: cubic
Space-group type: Pm-3m

***

First-principles (PBEsol) data for a relaxed CrCoCu crystal, as listed in Alexandria.

Unit cell a=2.9040 b=2.9040 c=4.4246 alpha=109.16 beta=109.16 gamma=90.00
Site moments in Bohr magnetons follow the coordinates.
Element x y z (fractional)
Cr (0.6582, 0.6582, 0.3164)  1.32
Co (0.0071, 0.0071, 0.0141)  0.38
Cu (0.3347, 0.3347, 0.6694)  0.06

Results
DFT formation energy (eV per atom): 0.256
Crystal system: tetragonal
Space-group type: I4mm

***

First-principles (PBEsol) data for a relaxed ThO2 crystal, as listed in Alexandria.

Unit cell a=3.9318 b=3.9318 c=3.9318 alpha=60.00 beta=60.00 gamma=60.00
Element x y z (fractional)
O (0.7500, 0.7500, 0.7500)
O (0.2500, 0.2500, 0.2500)
Th (0.5000, 0.5000, 0.5000)

Results
Raw formation energy (meV/atom): -3940
Crystal system: cubic
Space-group type: Fm-3m

***

First-principles (PBEsol) data for a relaxed SrAlSn2Cl crystal, as listed in Alexandria.

Unit cell a=5.0144 b=5.0144 c=6.5271 alpha=90.00 beta=90.00 gamma=90.00
Element x y z (fractional)
Sr (0.0000, 0.0000, 0.5000)
Sn (0.0000, 0.5000, 0.0000)
Sn (0.5000, 0.0000, 0.0000)
Al (0.0000, 0.0000, 0.0000)
Cl (0.5000, 0.5000, 0.5000)

Results
Raw formation energy (meV/atom): -188
Crystal system: tetragonal
Space-group type: P4/mmm

***

First-principles (PBEsol) data for a relaxed LaCoPb2 crystal, as listed in Alexandria.

Unit cell a=3.5836 b=5.2158 c=6.1334 alpha=111.53 beta=90.00 gamma=110.09
Element x y z (fractional)
Pb (0.9782, 0.9564, 0.0177)
Pb (0.1701, 0.3402, 0.7323)
Co (0.5495, 0.0990, 0.3711)
La (0.8022, 0.6045, 0.3790)

Results
DFT formation energy (eV per atom): -0.057
Crystal system: monoclinic
Space-group type: Cm

***

Number 1: energy -5.107 eV per atom. Number 2: energy -3.206 eV per atom. Number 3: energy -7.181 eV per atom. Number 4: energy -10.142 eV per atom. Number 5: energy -3.480 eV per atom. Number 6: energy -5.327 eV per atom.